First-principles (PBE) data for a geometry-optimized PuAlCoSi2 structure, as listed in the Alexandria database.

Results
Total DFT energy (no corrections)   -76.21 eV/cell
Density of states at the Fermi level   14.8 states/eV/cell
Crystal system   orthorhombic

Cell: 5.2934 5.4855 5.5293 Å, 90.00 90.00 90.00°
With the nearest neighbours (Å) after each atom.
Space group Pmma (No. 51)
One atom of each set of equivalent atoms:
Pu 0.2500 0.0000 0.2342 x2  2 Al 2.84, 8 Si 2.96-3.16
Al 0.2500 0.5000 0.3658 x2  2 Co 2.42, 2 Si 2.56
Co 0.0000 0.5000 0.0000 x2  4 Si 2.37, 2 Al 2.42, 2 Co 2.65
Si 0.2500 0.2427 0.7522 x4  2 Co 2.37, 1 Al 2.56